No. 1
Entry from the Alexandria database: a relaxed structure of KPHO3 (GGA-PBE).

POSCAR file:
```
KPHO3
1.0
8.4596 -0.0211 -0.0170
0.2535 8.4409 -0.0215
1.5787 0.8004 10.7238
K P H O
8 8 8 24
Cartesian
4.2359 4.2318 9.9004
6.0558 4.9883 0.7850
8.4111 6.2781 4.4372
1.8806 2.9420 6.2481
8.1249 2.2789 10.1600
2.1668 6.9413 0.5254
3.5063 6.9580 5.8514
6.7855 2.2621 4.8340
0.4357 3.2473 2.1231
9.8560 5.9728 8.5622
6.0433 7.2658 8.3852
4.2485 1.9543 2.3002
7.2912 4.6721 7.6421
3.0005 4.5480 3.0432
8.5798 8.4483 7.4018
1.7119 0.7719 3.2835
5.7551 7.3603 3.9179
4.5366 1.8598 6.7674
5.5868 6.6313 3.8247
4.7049 2.5888 6.8607
7.1688 7.5637 1.0363
3.1230 1.6565 9.6491
6.7010 7.9015 1.5221
3.5907 1.3186 9.1632
7.9083 4.2922 6.3263
2.3834 4.9280 4.3591
7.8507 4.1089 2.7299
2.4411 5.1112 7.9554
6.4286 3.7087 8.3893
3.8631 5.5114 2.2960
10.0886 6.6104 9.8962
0.2031 2.6097 0.7892
7.9814 8.5269 6.0327
2.3103 0.6933 4.6527
5.0090 8.0824 7.6879
5.2827 1.1378 2.9975
9.4811 7.0659 7.4006
0.8107 2.1542 3.2848
9.1368 1.1390 7.9733
1.1549 8.0812 2.7121
6.4803 6.0661 7.3519
3.8114 3.1541 3.3334
8.4445 5.1378 8.7183
1.8473 4.0823 1.9671
5.7587 6.6963 9.7477
4.5330 2.5239 0.9376
7.4451 8.1071 8.5359
2.8466 1.1131 2.1495
```

Total energy in eV/atom: -6.00
Space group: No. 2
Size of the total moment in μB/atom: 0.000

No. 2
Entry from the Alexandria database: a relaxed structure of K3P4H5O14 (GGA-PBE).

POSCAR file:
```
K3P4H5O14
1.0
-2.9788 8.3130 2.3602
-8.9474 0.5899 4.3294
0.7538 2.5906 9.5266
H K O P
10 6 28 8
Cartesian
-4.0968 1.5903 6.9280
0.0000 0.0000 0.0000
-3.1094 5.3144 6.3558
-2.8890 1.5825 2.0788
-8.0630 6.1791 9.8604
-8.2835 9.9110 14.1374
-6.8555 4.7554 11.1241
-8.6033 8.8574 12.1703
-4.3169 6.7381 5.0921
-2.5692 2.6361 4.0459
-3.3326 6.7259 9.5434
-7.8399 4.7676 6.6728
-5.4509 9.1251 12.1243
-0.5419 2.4504 6.4297
-5.7215 2.3684 4.0918
-10.6306 9.0431 9.7864
-7.1553 3.0273 9.0600
-6.9955 6.9350 13.1980
-4.0172 8.4662 7.1562
-4.1770 4.5585 3.0182
-6.0270 4.1533 11.0951
-8.8940 7.9587 11.7732
-5.1455 7.3402 5.1211
-2.2784 3.5348 4.4429
-8.1084 10.2766 12.6513
-8.1676 5.6165 11.2905
-3.0641 1.2169 3.5649
-3.0049 5.8770 4.9256
-4.8209 4.0990 8.9282
-9.4471 6.1905 13.4227
-6.3515 7.3945 7.2880
-1.7253 5.3030 2.7935
-3.4830 2.4590 7.5034
-0.3414 3.0654 9.3327
-7.6894 9.0345 8.7128
-10.8310 8.4281 6.8835
-5.3547 3.8141 6.4071
-9.1873 2.5459 6.0370
-5.8177 7.6794 9.8091
-1.9852 8.9476 10.1791
-3.2368 4.9832 7.3241
-2.0014 4.4867 10.6321
-7.9356 6.5103 8.8921
-9.1710 7.0068 5.5840
-5.8796 3.2202 9.8205
-8.2425 6.6622 12.4148
-5.2928 8.2733 6.3957
-2.9299 4.8313 3.8014
-4.2663 3.7922 7.4332
-0.5030 4.3689 10.1515
-6.9062 7.7013 8.7830
-10.6694 7.1246 6.0647
```

Total energy in eV/atom: -6.20
Space group: No. 15
Size of the total moment in μB/atom: 0.000

No. 3
Entry from the Alexandria database: a relaxed structure of K2PH4O5 (GGA-PBE).

POSCAR file:
```
K2PH4O5
1.0
-4.3217 -0.7295 -6.0091
4.2827 -5.9636 1.1877
-8.6079 -5.3670 6.3881
H K O P
16 8 20 4
Cartesian
-5.6642 -3.6366 -1.3998
-5.5008 -9.0377 5.5307
-6.4955 -4.4479 -2.4694
-5.1412 -10.5733 5.4572
-1.6040 -4.5569 -4.5346
-3.3715 -8.7833 0.7810
-1.2260 -6.0674 -4.6263
-4.1726 -9.5766 -0.2969
-2.7064 -5.5301 -0.0056
-7.6413 -7.8298 2.6607
-2.1577 -7.0155 0.0573
-8.5469 -8.4305 1.5072
-8.2718 -5.8146 -1.5820
1.8862 -6.6922 0.1203
-9.0798 -6.4315 -0.3388
0.4915 -6.9523 0.8728
-1.9372 -7.9114 -2.7415
-6.8039 -10.2525 -0.0182
-5.3979 -6.8025 -0.9063
0.8561 -5.3052 -2.4694
-4.8601 -7.4743 3.0958
-2.7556 -3.4529 -1.9379
-7.8708 -5.0709 1.6260
-0.2561 -4.4014 1.2012
-2.2813 -8.2845 3.5161
-3.4848 -2.2508 -4.2844
-0.2591 -7.0333 2.4906
-10.4603 -6.1294 0.7522
-1.7687 -8.4641 1.0044
-10.1509 -8.6668 0.7874
-5.1135 -5.3337 1.4675
-0.1896 -3.0273 -1.2080
-2.9654 -4.0556 0.7922
-7.4281 -6.6425 3.8535
-3.8136 -3.9315 3.1955
-0.7183 -0.5128 -1.0095
-5.5505 -4.2308 -2.2006
-5.1991 -9.7462 4.8872
-1.5990 -5.4009 -3.9824
-4.3138 -9.0510 0.5408
-2.4665 -6.3156 -0.5815
-7.6295 -8.4765 1.8940
-8.2243 -6.4913 -0.8479
0.8966 -6.7381 -0.0129
-1.1796 -8.2793 2.4432
-11.1854 -7.4943 0.8681
-4.2278 -4.1005 1.6873
-8.2204 -6.9733 5.1417
```

Total energy in eV/atom: -5.43
Space group: No. 9
Size of the total moment in μB/atom: 0.000

No. 4
Entry from the Alexandria database: a relaxed structure of KP2HO (GGA-PBE).

POSCAR file:
```
KP2HO
1.0
-7.1309 0.9843 1.2090
0.5714 -3.6165 6.3146
1.0253 4.4273 2.4428
P K O H
2 1 1 1
Cartesian
0.2857 -1.8082 3.1573
-3.5654 0.4921 0.6045
0.0000 0.0000 0.0000
0.5126 2.2137 1.2214
-2.7671 0.8976 4.9832
```

Space group: No. 123
Size of the total moment in μB/atom: 1.133
Distance to the lowest polymorph of the same formula in meV/atom: 1347

No. 5
Entry from the Alexandria database: a relaxed structure of KPHO2 (GGA-PBE).

POSCAR file:
```
KPHO2
1.0
4.3763 0.0000 0.0000
0.0000 4.3763 0.0000
0.0000 0.0000 3.0681
P K O H
1 1 2 1
Cartesian
0.0000 0.0000 1.5340
2.1882 2.1882 1.5340
0.0000 2.1882 0.0000
2.1882 0.0000 0.0000
0.0000 0.0000 0.0000
```

Space group: No. 123
Size of the total moment in μB/atom: 0.100
Distance to the lowest polymorph of the same formula in meV/atom: 0

No. 6
Entry from the Alexandria database: a relaxed structure of KPH2O2 (GGA-PBE).

POSCAR file:
```
KPH2O2
1.0
-3.7467 -0.7789 -3.6347
3.7303 -0.0572 -3.7333
0.6304 -6.8578 -2.3866
H K O P
4 2 4 2
Cartesian
-0.4440 -0.8368 -1.1908
-0.2659 -3.5256 -7.3572
1.0580 -6.8572 -8.5638
0.8798 -4.1683 -2.3974
-0.9380 -2.2375 -4.2663
1.5519 -5.4565 -5.4882
1.6594 -1.2758 -3.2028
1.7667 -2.6874 -5.3997
-1.0455 -6.4182 -6.5518
-1.1527 -5.0065 -4.3548
2.4871 -1.9069 -4.3115
-1.8732 -5.7871 -5.4431
```

Total energy in eV/atom: -5.20
Space group: No. 15
Size of the total moment in μB/atom: 0.000

No. 7
Entry from the Alexandria database: a relaxed structure of KPHO2 (GGA-PBE).

POSCAR file:
```
KPHO2
1.0
-4.1043 1.1148 -3.4553
-2.4946 -4.6549 1.4614
-3.4678 3.5068 5.2506
P K O H
1 1 2 1
Cartesian
-1.7339 1.7534 2.6253
0.0000 0.0000 0.0000
-1.2473 -2.3275 0.7307
-2.0522 0.5574 -1.7276
-5.0334 -0.0167 1.6284
```

Space group: No. 123
Size of the total moment in μB/atom: 1.400
Distance to the lowest polymorph of the same formula in meV/atom: 1197

No. 8
Entry from the Alexandria database: a relaxed structure of KP2HO6 (GGA-PBE).

POSCAR file:
```
KP2HO6
1.0
4.6010 -0.0034 -0.0035
1.4654 8.0540 -0.7384
1.4654 -1.0364 8.0211
K P H O
2 4 2 12
Cartesian
2.6157 6.7767 0.4908
4.9162 0.2376 6.7885
3.9406 5.5366 4.4377
1.2907 2.7865 1.5838
3.5912 1.4777 2.8415
6.2411 4.2277 5.6954
2.6157 2.1108 4.9868
4.9162 4.9035 2.2924
4.0339 6.7392 5.3047
1.1975 1.9647 0.3499
3.4980 0.2751 1.9745
6.3344 5.0496 6.9294
4.2790 5.6757 2.9618
5.5534 4.2632 1.4959
3.2529 1.3386 4.3175
1.9785 2.7511 5.7833
2.4602 4.8875 4.4585
2.7712 2.7416 2.2316
5.0717 2.1268 2.8207
4.7607 4.2726 5.0476
```

Total energy in eV/atom: -6.52
Space group: No. 15
Size of the total moment in μB/atom: 0.000

Copy entry 6 word for word.
Entry from the Alexandria database: a relaxed structure of KPH2O2 (GGA-PBE).

POSCAR file:
```
KPH2O2
1.0
-3.7467 -0.7789 -3.6347
3.7303 -0.0572 -3.7333
0.6304 -6.8578 -2.3866
H K O P
4 2 4 2
Cartesian
-0.4440 -0.8368 -1.1908
-0.2659 -3.5256 -7.3572
1.0580 -6.8572 -8.5638
0.8798 -4.1683 -2.3974
-0.9380 -2.2375 -4.2663
1.5519 -5.4565 -5.4882
1.6594 -1.2758 -3.2028
1.7667 -2.6874 -5.3997
-1.0455 -6.4182 -6.5518
-1.1527 -5.0065 -4.3548
2.4871 -1.9069 -4.3115
-1.8732 -5.7871 -5.4431
```

Total energy in eV/atom: -5.20
Space group: No. 15
Size of the total moment in μB/atom: 0.000

Please write out number 4 again, unchanged.
Entry from the Alexandria database: a relaxed structure of KP2HO (GGA-PBE).

POSCAR file:
```
KP2HO
1.0
-7.1309 0.9843 1.2090
0.5714 -3.6165 6.3146
1.0253 4.4273 2.4428
P K O H
2 1 1 1
Cartesian
0.2857 -1.8082 3.1573
-3.5654 0.4921 0.6045
0.0000 0.0000 0.0000
0.5126 2.2137 1.2214
-2.7671 0.8976 4.9832
```

Space group: No. 123
Size of the total moment in μB/atom: 1.133
Distance to the lowest polymorph of the same formula in meV/atom: 1347

Please write out number 1 again, unchanged.
Entry from the Alexandria database: a relaxed structure of KPHO3 (GGA-PBE).

POSCAR file:
```
KPHO3
1.0
8.4596 -0.0211 -0.0170
0.2535 8.4409 -0.0215
1.5787 0.8004 10.7238
K P H O
8 8 8 24
Cartesian
4.2359 4.2318 9.9004
6.0558 4.9883 0.7850
8.4111 6.2781 4.4372
1.8806 2.9420 6.2481
8.1249 2.2789 10.1600
2.1668 6.9413 0.5254
3.5063 6.9580 5.8514
6.7855 2.2621 4.8340
0.4357 3.2473 2.1231
9.8560 5.9728 8.5622
6.0433 7.2658 8.3852
4.2485 1.9543 2.3002
7.2912 4.6721 7.6421
3.0005 4.5480 3.0432
8.5798 8.4483 7.4018
1.7119 0.7719 3.2835
5.7551 7.3603 3.9179
4.5366 1.8598 6.7674
5.5868 6.6313 3.8247
4.7049 2.5888 6.8607
7.1688 7.5637 1.0363
3.1230 1.6565 9.6491
6.7010 7.9015 1.5221
3.5907 1.3186 9.1632
7.9083 4.2922 6.3263
2.3834 4.9280 4.3591
7.8507 4.1089 2.7299
2.4411 5.1112 7.9554
6.4286 3.7087 8.3893
3.8631 5.5114 2.2960
10.0886 6.6104 9.8962
0.2031 2.6097 0.7892
7.9814 8.5269 6.0327
2.3103 0.6933 4.6527
5.0090 8.0824 7.6879
5.2827 1.1378 2.9975
9.4811 7.0659 7.4006
0.8107 2.1542 3.2848
9.1368 1.1390 7.9733
1.1549 8.0812 2.7121
6.4803 6.0661 7.3519
3.8114 3.1541 3.3334
8.4445 5.1378 8.7183
1.8473 4.0823 1.9671
5.7587 6.6963 9.7477
4.5330 2.5239 0.9376
7.4451 8.1071 8.5359
2.8466 1.1131 2.1495
```

Total energy in eV/atom: -6.00
Space group: No. 2
Size of the total moment in μB/atom: 0.000